A plane-wave DFT calculation with GGA+U was carried out for an optimized crystal structure of CoTcPb2O6.

Geometry as POSCAR:
```
CoTcPb2O6
1.0
5.6635 -0.0615 0.0397
-0.0619 5.6257 -0.0129
2.8300 2.7740 4.0571
O Pb Tc Co
6 2 1 1
Direct
0.2609 0.3313 0.9323 O
0.7830 0.7789 0.5193 O
0.7391 0.6687 0.0677 O
0.2170 0.2211 0.4807 O
0.2993 0.7803 0.0036 O
0.7007 0.2197 0.9964 O
0.2500 0.7643 0.4865 Pb
0.7500 0.2357 0.5135 Pb
0.5000 0.5000 0.0000 Tc
0.0000 0.0000 0.0000 Co
```

Values from the calculation:
The magnetic moment is 3.91 μB per formula unit. The value obtained for the total energy is -0.4734 Ry per atom.